1.
! Np2BiAs (PBE-GGA, relaxed); values from VASP
&SYSTEM
  ibrav = 0, nat = 4, ntyp = 3
/
ATOMIC_SPECIES
Np 237.00 Np.upf
Bi 208.98 Bi.upf
As 74.92 As.upf
CELL_PARAMETERS angstrom
1.9301 1.1143 8.3804
-1.9301 1.1143 8.3804
0.0000 -2.2287 8.3804
ATOMIC_POSITIONS angstrom
Np 0.0000 0.0000 0.0000
Np 0.0000 0.0000 4.7709
Bi 0.0000 0.0000 19.1549
As 0.0000 0.0000 14.9488
! space-group type	R3m
! DOS(E_F)	9.7	states/eV per cell
! crystal system	trigonal
! ρ	11.6	g cm⁻³
! calculated total energy	-8.81	eV/atom

=====

2.
! NpBi2As2Pd7 (PBE-GGA, relaxed); values from VASP
&SYSTEM
  ibrav = 0, nat = 12, ntyp = 4
/
ATOMIC_SPECIES
Np 237.00 Np.upf
Bi 208.98 Bi.upf
As 74.92 As.upf
Pd 106.42 Pd.upf
CELL_PARAMETERS angstrom
2.9163 -2.8922 0.0000
2.9163 2.8922 0.0000
-1.5790 0.0000 14.2523
ATOMIC_POSITIONS angstrom
Np 0.0000 0.0000 0.0000
Bi 0.1101 0.0000 5.5952
Bi 4.1435 0.0000 8.6572
As 1.3226 0.0000 10.6655
As 2.9309 0.0000 3.5869
Pd 1.4644 1.4449 2.1263
Pd 1.1514 0.0000 8.1718
Pd 2.7892 1.4449 12.1261
Pd 2.9163 0.0000 0.0000
Pd 1.4644 -1.4449 2.1263
Pd 3.1021 0.0000 6.0805
Pd 2.7892 -1.4449 12.1261
! space-group type	C2/m
! DOS(E_F)	14.1	states/eV per cell
! crystal system	monoclinic
! ρ	10.7	g cm⁻³
! calculated total energy	-5.83	eV/atom

=====

3.
! Bi2AsO (PBE-GGA, relaxed); values from VASP
&SYSTEM
  ibrav = 0, nat = 4, ntyp = 3
/
ATOMIC_SPECIES
Bi 208.98 Bi.upf
As 74.92 As.upf
O 16.00 O.upf
CELL_PARAMETERS angstrom
0.0000 3.4711 3.4711
3.4711 0.0000 3.4711
3.4711 3.4711 0.0000
ATOMIC_POSITIONS angstrom
Bi 1.7356 1.7356 1.7356
Bi 5.2067 5.2067 5.2067
As 0.0000 0.0000 0.0000
O 3.4711 3.4711 3.4711
! space-group type	Fm-3m
! energy relative to the elements, uncorrected	0.048	eV/atom
! DOS(E_F)	1.6	states/eV per cell
! crystal system	cubic
! ρ	10.1	g cm⁻³
! ΔE to the lowest computed polymorph	0.2848	eV per atom

=====

4.
! Bi2AsO4 (PBE-GGA, relaxed); values from VASP
&SYSTEM
  ibrav = 0, nat = 7, ntyp = 3
/
ATOMIC_SPECIES
Bi 208.98 Bi.upf
As 74.92 As.upf
O 16.00 O.upf
CELL_PARAMETERS angstrom
-3.2429 3.2429 3.2190
3.2429 -3.2429 3.2190
3.2429 3.2429 -3.2190
ATOMIC_POSITIONS angstrom
Bi 3.2429 0.0000 1.6095
Bi 0.0000 3.2429 1.6095
As 0.0000 0.0000 0.0000
O 1.0013 -1.0013 1.0599
O -1.0013 1.0013 1.0599
O 2.2416 2.2416 2.1591
O 1.0013 1.0013 5.3780
! space-group type	I-42m
! energy relative to the elements, uncorrected	-0.893	eV/atom
! DOS(E_F)	2.6	states/eV per cell
! crystal system	tetragonal
! ρ	6.8	g cm⁻³
! ΔE to the lowest computed polymorph	0.0000	eV per atom

=====

5.
! BiAs2O (PBE-GGA, relaxed); values from VASP
&SYSTEM
  ibrav = 0, nat = 4, ntyp = 3
/
ATOMIC_SPECIES
Bi 208.98 Bi.upf
As 74.92 As.upf
O 16.00 O.upf
CELL_PARAMETERS angstrom
0.0000 3.3649 3.3649
3.3649 0.0000 3.3649
3.3649 3.3649 0.0000
ATOMIC_POSITIONS angstrom
Bi 0.0000 0.0000 0.0000
As 1.6825 1.6825 1.6825
As 5.0474 5.0474 5.0474
O 3.3649 3.3649 3.3649
! space-group type	Fm-3m
! energy relative to the elements, uncorrected	0.514	eV/atom
! DOS(E_F)	2.2	states/eV per cell
! crystal system	cubic
! ρ	8.2	g cm⁻³
! ΔE to the lowest computed polymorph	0.5258	eV per atom

=====

6.
! BiAsO4 (PBE-GGA, relaxed); values from VASP
&SYSTEM
  ibrav = 0, nat = 12, ntyp = 3
/
ATOMIC_SPECIES
Bi 208.98 Bi.upf
As 74.92 As.upf
O 16.00 O.upf
CELL_PARAMETERS angstrom
7.1353 0.0000 0.0000
0.0000 5.1499 0.0000
0.0000 0.0000 5.0067
ATOMIC_POSITIONS angstrom
Bi 0.0000 0.4840 0.0000
Bi 3.5676 4.6659 2.5033
As 0.0000 3.4156 2.2719
As 3.5676 1.7343 4.7753
O 0.0000 1.7521 1.9440
O 0.0000 3.5569 3.9784
O 1.3112 4.3040 1.5264
O 2.2564 0.8458 4.0298
O 3.5676 1.5930 1.4751
O 3.5676 3.3977 4.4473
O 4.8789 0.8458 4.0298
O 5.8240 4.3040 1.5264
! space-group type	Pmn2_1
! energy relative to the elements, uncorrected	-1.281	eV/atom
! DOS(E_F)	0.0	states/eV per cell
! crystal system	orthorhombic
! ρ	6.3	g cm⁻³

=====

7.
! Bi2AsO6 (PBE-GGA, relaxed); values from VASP
&SYSTEM
  ibrav = 0, nat = 36, ntyp = 3
/
ATOMIC_SPECIES
Bi 208.98 Bi.upf
As 74.92 As.upf
O 16.00 O.upf
CELL_PARAMETERS angstrom
7.2087 0.0000 0.0000
0.0000 7.0789 0.0000
-3.4619 0.0000 10.2742
ATOMIC_POSITIONS angstrom
Bi -0.3875 0.9295 3.2604
Bi -2.1184 2.6100 8.3976
Bi -0.0993 4.2392 5.3844
Bi 1.6316 6.3791 0.2472
Bi 2.1152 0.6998 10.0270
Bi 3.8462 2.8397 4.8899
Bi 5.8653 4.4689 1.8767
Bi 4.1343 6.1494 7.0138
As 0.3260 0.5004 6.9245
As 2.0569 3.0391 1.7874
As 1.6899 4.0398 8.4869
As 3.4209 6.5785 3.3497
O -2.0878 4.0328 6.3543
O -0.3569 6.5856 1.2172
O -2.4872 4.9788 8.8376
O -0.7562 5.6395 3.7005
O 1.0711 4.3934 1.3247
O -0.6598 6.2249 6.4618
O 0.3574 1.5537 5.5636
O 2.0884 1.9857 0.4265
O -0.4196 1.0235 8.3948
O 1.3113 2.5159 3.2577
O 0.1080 3.6614 7.9596
O 1.8389 6.9570 2.8225
O 1.9079 0.1219 7.4517
O 3.6389 3.4175 2.3146
O 2.4355 4.5630 7.0166
O 4.1665 6.0554 1.8794
O 1.6584 5.0932 9.8477
O 3.3894 5.5252 4.7106
O 4.4067 0.8540 3.8124
O 2.6757 2.6855 8.9495
O 4.5030 1.4394 6.5738
O 6.2340 2.1000 1.4366
O 4.1037 0.4933 9.0571
O 5.8346 3.0461 3.9200
! space-group type	P2_1/c
! energy relative to the elements, uncorrected	-1.118	eV/atom
! DOS(E_F)	11.0	states/eV per cell
! crystal system	monoclinic
! ρ	7.5	g cm⁻³
! ΔE to the lowest computed polymorph	0.0000	eV per atom

=====

8.
! BiAsO2 (PBE-GGA, relaxed); values from VASP
&SYSTEM
  ibrav = 0, nat = 16, ntyp = 3
/
ATOMIC_SPECIES
Bi 208.98 Bi.upf
As 74.92 As.upf
O 16.00 O.upf
CELL_PARAMETERS angstrom
-3.2976 3.2976 6.0243
3.2976 -3.2976 6.0243
3.2976 3.2976 -6.0243
ATOMIC_POSITIONS angstrom
Bi 0.0000 0.0000 0.0000
Bi 1.6488 1.6488 -3.0122
Bi 1.6488 -1.6488 3.0122
Bi 0.0000 3.2976 0.0000
As 3.2976 0.0000 0.0000
As -1.6488 1.6488 3.0122
As 0.0000 0.0000 6.0243
As 1.6488 1.6488 3.0122
O 1.8005 1.6488 -0.5706
O 4.7947 1.6488 -0.5706
O 0.0000 0.1517 2.4416
O 3.2976 0.1517 3.5827
O 0.0000 3.1459 2.4416
O 3.2976 3.1459 3.5827
O -1.4971 1.6488 6.5949
O 1.4971 1.6488 6.5949
! space-group type	I4_1/amd
! energy relative to the elements, uncorrected	-0.434	eV/atom
! DOS(E_F)	6.6	states/eV per cell
! crystal system	tetragonal
! ρ	8.0	g cm⁻³
! ΔE to the lowest computed polymorph	0.2004	eV per atom

=====

9.
! Bi6AsO12 (PBE-GGA, relaxed); values from VASP
&SYSTEM
  ibrav = 0, nat = 19, ntyp = 3
/
ATOMIC_SPECIES
Bi 208.98 Bi.upf
As 74.92 As.upf
O 16.00 O.upf
CELL_PARAMETERS angstrom
5.1120 2.9514 3.1493
-5.1120 2.9514 3.1493
0.0000 -5.9028 3.1493
ATOMIC_POSITIONS angstrom
Bi -2.7975 -2.5143 4.8164
Bi -3.5761 1.1656 4.6314
Bi 0.7787 -3.6798 4.6314
Bi -0.7787 3.6798 4.8164
Bi 3.5761 -1.1656 4.8164
Bi 2.7975 2.5142 4.6314
As 0.0000 0.0000 4.7239
O -1.3057 -4.3567 4.1202
O -4.4259 -1.0476 5.3276
O -1.5596 -0.3621 3.6890
O -3.1201 3.3091 4.1202
O 1.0934 -1.1696 3.6890
O -0.4662 -1.5317 5.7588
O 0.4662 1.5317 3.6890
O -1.0934 1.1696 5.7588
O 3.1201 -3.3091 5.3276
O 1.5596 0.3621 5.7588
O 4.4259 1.0475 4.1202
O 1.3057 4.3567 5.3276
! space-group type	R-3
! energy relative to the elements, uncorrected	-1.155	eV/atom
! DOS(E_F)	12.0	states/eV per cell
! crystal system	trigonal
! ρ	8.9	g cm⁻³

=====

10.
! BiAsO2 (PBE-GGA, relaxed); values from VASP
&SYSTEM
  ibrav = 0, nat = 4, ntyp = 3
/
ATOMIC_SPECIES
Bi 208.98 Bi.upf
As 74.92 As.upf
O 16.00 O.upf
CELL_PARAMETERS angstrom
1.7446 1.0072 6.7303
-1.7446 1.0072 6.7303
0.0000 -2.0145 6.7303
ATOMIC_POSITIONS angstrom
Bi 0.0000 0.0000 0.0000
As 0.0000 0.0000 10.0954
O 0.0000 0.0000 8.0020
O 0.0000 0.0000 12.1889
! space-group type	R-3m
! energy relative to the elements, uncorrected	-0.634	eV/atom
! DOS(E_F)	0.9	states/eV per cell
! crystal system	trigonal
! ρ	7.4	g cm⁻³
! ΔE to the lowest computed polymorph	0.0000	eV per atom

=====

11.
! BiAsO4 (PBE-GGA, relaxed); values from VASP
&SYSTEM
  ibrav = 0, nat = 12, ntyp = 3
/
ATOMIC_SPECIES
Bi 208.98 Bi.upf
As 74.92 As.upf
O 16.00 O.upf
CELL_PARAMETERS angstrom
-3.6901 3.6901 3.2552
3.6901 -3.6901 3.2552
3.6901 3.6901 -3.2552
ATOMIC_POSITIONS angstrom
Bi 3.6901 1.8451 0.8138
Bi 0.0000 1.8451 2.4414
As 3.6901 -1.8451 2.4414
As 0.0000 5.5352 0.8138
O 3.6901 -0.5345 1.3146
O 3.6901 3.1557 -1.3146
O 1.3106 1.8451 0.3130
O 2.3795 -1.8451 3.5682
O 1.3106 5.5352 -0.3130
O 2.3795 1.8451 2.9422
O 0.0000 0.5345 4.5698
O 0.0000 4.2246 1.9406
! space-group type	I4_1/amd
! energy relative to the elements, uncorrected	-1.301	eV/atom
! DOS(E_F)	0.0	states/eV per cell
! crystal system	tetragonal
! ρ	6.5	g cm⁻³

=====

12.
! BiAsO2 (PBE-GGA, relaxed); values from VASP
&SYSTEM
  ibrav = 0, nat = 8, ntyp = 3
/
ATOMIC_SPECIES
Bi 208.98 Bi.upf
As 74.92 As.upf
O 16.00 O.upf
CELL_PARAMETERS angstrom
-2.7563 2.7563 4.9167
2.7563 -2.7563 4.9167
2.7563 2.7563 -4.9167
ATOMIC_POSITIONS angstrom
Bi 0.0000 0.0000 0.0000
Bi 0.0000 2.7563 2.4583
As 2.7563 0.0000 2.4583
As 0.0000 0.0000 4.9167
O 1.3782 -0.7381 3.6875
O 2.0182 1.3782 1.2292
O 1.3782 3.4944 -1.2292
O 0.7381 1.3782 6.1459
! space-group type	I-42d
! energy relative to the elements, uncorrected	-0.365	eV/atom
! DOS(E_F)	1.4	states/eV per cell
! crystal system	tetragonal
! ρ	7.0	g cm⁻³
! ΔE to the lowest computed polymorph	0.2693	eV per atom

=====

13.
! Bi2AsO (PBE-GGA, relaxed); values from VASP
&SYSTEM
  ibrav = 0, nat = 8, ntyp = 3
/
ATOMIC_SPECIES
Bi 208.98 Bi.upf
As 74.92 As.upf
O 16.00 O.upf
CELL_PARAMETERS angstrom
-3.0433 3.0433 6.0403
3.0433 -3.0433 6.0403
3.0433 3.0433 -6.0403
ATOMIC_POSITIONS angstrom
Bi 4.5650 1.0890 -1.5101
Bi 1.0890 1.5217 1.5101
Bi -1.5217 1.9543 4.5302
Bi 1.9543 1.5217 7.5504
As 3.0433 0.0000 3.0202
As 0.0000 0.0000 6.0403
O 0.0000 0.0000 0.0000
O 0.0000 3.0433 3.0202
! space-group type	I-42d
! energy relative to the elements, uncorrected	-0.237	eV/atom
! DOS(E_F)	3.5	states/eV per cell
! crystal system	tetragonal
! ρ	7.6	g cm⁻³
! ΔE to the lowest computed polymorph	0.0000	eV per atom

=====

14.
! BiAs3O (PBE-GGA, relaxed); values from VASP
&SYSTEM
  ibrav = 0, nat = 5, ntyp = 3
/
ATOMIC_SPECIES
Bi 208.98 Bi.upf
As 74.92 As.upf
O 16.00 O.upf
CELL_PARAMETERS angstrom
4.5748 0.0000 0.0000
0.0000 4.5748 0.0000
0.0000 0.0000 4.5748
ATOMIC_POSITIONS angstrom
Bi 0.0000 0.0000 0.0000
As 0.0000 2.2874 2.2874
As 2.2874 0.0000 2.2874
As 2.2874 2.2874 0.0000
O 2.2874 2.2874 2.2874
! space-group type	Pm-3m
! energy relative to the elements, uncorrected	0.198	eV/atom
! DOS(E_F)	2.3	states/eV per cell
! crystal system	cubic
! ρ	7.8	g cm⁻³
! ΔE to the lowest computed polymorph	0.0000	eV per atom

=====

15.
! BiAsO4 (PBE-GGA, relaxed); values from VASP
&SYSTEM
  ibrav = 0, nat = 24, ntyp = 3
/
ATOMIC_SPECIES
Bi 208.98 Bi.upf
As 74.92 As.upf
O 16.00 O.upf
CELL_PARAMETERS angstrom
6.8328 0.0000 0.0000
0.0000 7.3087 0.0000
-4.9764 0.0000 6.7320
ATOMIC_POSITIONS angstrom
Bi -0.0277 0.9640 1.8918
Bi -2.5159 2.6904 5.2578
Bi 4.3724 4.6183 1.4742
Bi 1.8842 6.3448 4.8402
As 1.1227 4.8459 1.3572
As -1.3655 6.1173 4.7232
As 3.2220 1.1915 2.0088
As 0.7338 2.4629 5.3748
O -2.1371 4.7010 4.0985
O 0.3510 6.2621 0.7325
O -0.0994 3.6788 1.5995
O -2.5876 7.2843 4.9655
O 2.3375 4.3914 0.1790
O -0.1507 6.5717 3.5450
O 2.1140 1.5159 0.7297
O -0.3742 2.1384 4.0957
O 2.2307 5.1703 2.6363
O -0.2575 5.7928 6.0023
O 2.0072 0.7370 3.1870
O -0.4810 2.9173 6.5530
O 4.4441 0.0244 1.7665
O 1.9559 3.6299 5.1325
O 1.5055 1.0466 5.9995
O 3.9936 2.6077 2.6335
! space-group type	P2_1/c
! energy relative to the elements, uncorrected	-1.301	eV/atom
! DOS(E_F)	0.0	states/eV per cell
! crystal system	monoclinic
! ρ	6.9	g cm⁻³

=====

16.
! BiAsO4 (PBE-GGA, relaxed); values from VASP
&SYSTEM
  ibrav = 0, nat = 12, ntyp = 3
/
ATOMIC_SPECIES
Bi 208.98 Bi.upf
As 74.92 As.upf
O 16.00 O.upf
CELL_PARAMETERS angstrom
-2.5765 2.5765 5.9166
2.5765 -2.5765 5.9166
2.5765 2.5765 -5.9166
ATOMIC_POSITIONS angstrom
Bi 0.0000 1.2883 1.4791
Bi 2.5765 1.2883 4.4374
As 2.5765 1.2883 -1.4791
As 0.0000 1.2883 7.3957
O 3.8497 0.5501 -0.5605
O 3.3147 -0.0151 2.3978
O 0.7382 -0.0151 3.5188
O 1.3033 2.0264 -0.5605
O 1.2732 0.5501 6.4771
O 1.8383 2.5916 2.3978
O -0.7382 2.5916 3.5188
O -1.2732 2.0264 6.4771
! space-group type	I4_1/a
! energy relative to the elements, uncorrected	-1.296	eV/atom
! DOS(E_F)	0.0	states/eV per cell
! crystal system	tetragonal
! ρ	7.4	g cm⁻³

=====

17.
! Bi2AsO4 (PBE-GGA, relaxed); values from VASP
&SYSTEM
  ibrav = 0, nat = 7, ntyp = 3
/
ATOMIC_SPECIES
Bi 208.98 Bi.upf
As 74.92 As.upf
O 16.00 O.upf
CELL_PARAMETERS angstrom
-1.8536 1.8536 8.5768
1.8536 -1.8536 8.5768
1.8536 1.8536 -8.5768
ATOMIC_POSITIONS angstrom
Bi 0.0000 0.0000 2.9468
Bi 0.0000 0.0000 14.2068
As 0.0000 0.0000 8.5768
O 1.8536 0.0000 4.2884
O 0.0000 0.0000 6.6980
O 0.0000 0.0000 10.4556
O 0.0000 1.8536 4.2884
! space-group type	I4/mmm
! energy relative to the elements, uncorrected	-0.881	eV/atom
! DOS(E_F)	2.3	states/eV per cell
! crystal system	tetragonal
! ρ	7.8	g cm⁻³
! ΔE to the lowest computed polymorph	0.0113	eV per atom

=====

18.
! BiAs3O (PBE-GGA, relaxed); values from VASP
&SYSTEM
  ibrav = 0, nat = 5, ntyp = 3
/
ATOMIC_SPECIES
Bi 208.98 Bi.upf
As 74.92 As.upf
O 16.00 O.upf
CELL_PARAMETERS angstrom
5.4699 0.0000 0.0000
0.0000 5.4699 0.0000
0.0000 0.0000 5.4699
ATOMIC_POSITIONS angstrom
Bi 0.0000 0.0000 0.0000
As 0.0000 0.0000 2.7350
As 0.0000 2.7350 0.0000
As 2.7350 0.0000 0.0000
O 2.7350 2.7350 2.7350
! space-group type	Pm-3m
! energy relative to the elements, uncorrected	1.722	eV/atom
! DOS(E_F)	16.0	states/eV per cell
! crystal system	cubic
! ρ	4.6	g cm⁻³
! ΔE to the lowest computed polymorph	1.5238	eV per atom

=====

19.
! BiAs2O (PBE-GGA, relaxed); values from VASP
&SYSTEM
  ibrav = 0, nat = 8, ntyp = 3
/
ATOMIC_SPECIES
Bi 208.98 Bi.upf
As 74.92 As.upf
O 16.00 O.upf
CELL_PARAMETERS angstrom
-2.6622 2.6622 6.4813
2.6622 -2.6622 6.4813
2.6622 2.6622 -6.4813
ATOMIC_POSITIONS angstrom
Bi 0.0000 0.0000 0.0000
Bi 0.0000 2.6622 3.2406
As 1.3311 -0.5174 4.8609
As 2.1448 1.3311 1.6203
As 1.3311 3.1797 -1.6203
As 0.5174 1.3311 8.1016
O 2.6622 0.0000 3.2406
O 0.0000 0.0000 6.4813
! space-group type	I-42d
! energy relative to the elements, uncorrected	-0.012	eV/atom
! DOS(E_F)	4.7	states/eV per cell
! crystal system	tetragonal
! ρ	6.8	g cm⁻³
! ΔE to the lowest computed polymorph	0.0000	eV per atom

=====

20.
! Bi2AsO6 (PBE-GGA, relaxed); values from VASP
&SYSTEM
  ibrav = 0, nat = 18, ntyp = 3
/
ATOMIC_SPECIES
Bi 208.98 Bi.upf
As 74.92 As.upf
O 16.00 O.upf
CELL_PARAMETERS angstrom
5.3868 0.0000 0.0000
0.0000 6.0197 0.0000
-4.9568 0.0000 7.5542
ATOMIC_POSITIONS angstrom
Bi 0.0218 0.4689 1.8763
Bi -2.4566 2.5410 5.6535
Bi 2.8866 3.4787 1.9008
Bi 0.4081 5.5508 5.6779
As 2.6934 0.0000 0.0000
As 0.2150 3.0099 3.7771
O -3.8702 0.8806 7.2339
O -1.3918 2.1292 3.4567
O -3.0405 4.3790 7.0825
O -0.5621 4.6505 3.3054
O -1.7170 0.3169 5.8042
O 0.7614 2.6929 2.0271
O -0.3315 3.3268 5.5271
O 2.1469 5.7028 1.7500
O 0.9920 1.3692 4.2488
O 3.4704 1.6407 0.4717
O 1.8218 3.8905 4.0975
O 4.3002 5.1391 0.3204
! space-group type	P2_1/c
! energy relative to the elements, uncorrected	-1.107	eV/atom
! DOS(E_F)	9.7	states/eV per cell
! crystal system	monoclinic
! ρ	8.0	g cm⁻³
! ΔE to the lowest computed polymorph	0.0117	eV per atom